[1]
Entry from Alexandria: a relaxed SrPrSm2 crystal (PBE).

```
data_SrPrSm2
_chemical_formula_sum 'Sr1 Pr1 Sm2'
_space_group_name_H-M_alt 'P 1'
_space_group_IT_number 1
_cell_length_a 5.326
_cell_length_b 5.315
_cell_length_c 5.315
_cell_angle_alpha 90.00
_cell_angle_beta 90.00
_cell_angle_gamma 90.00
loop_
_space_group_symop_operation_xyz
'x,y,z'
loop_
_atom_site_label
_atom_site_fract_x
_atom_site_fract_y
_atom_site_fract_z
Pr1 0.500 0.500 0.500
Sr1 0.500 0.000 0.000
Sm1 0.000 0.000 0.500
Sm2 0.000 0.500 0.000
```

Values from the calculation:
Energy relative to the elements ... 158 meV/atom
E above lowest polymorph ... 0.059 eV/atom
D(E_F) ... 7.05 states/eV per cell

[2]
Entry from Alexandria: a relaxed SrPr12Sm6 crystal (PBE).

```
data_SrPr12Sm6
_chemical_formula_sum 'Sr1 Pr12 Sm6'
_space_group_name_H-M_alt 'P 1'
_space_group_IT_number 1
_cell_length_a 9.052
_cell_length_b 9.052
_cell_length_c 9.052
_cell_angle_alpha 98.82
_cell_angle_beta 98.82
_cell_angle_gamma 98.82
loop_
_space_group_symop_operation_xyz
'x,y,z'
loop_
_atom_site_label
_atom_site_fract_x
_atom_site_fract_y
_atom_site_fract_z
Sr1 0.000 0.000 0.000
Pr1 0.762 0.238 0.500
Pr2 0.359 0.086 0.359
Pr3 0.359 0.359 0.086
Pr4 0.914 0.641 0.641
Pr5 0.641 0.641 0.914
Pr6 0.641 0.914 0.641
Pr7 0.500 0.762 0.238
Pr8 0.238 0.500 0.762
Pr9 0.238 0.762 0.500
Pr10 0.500 0.238 0.762
Pr11 0.762 0.500 0.238
Pr12 0.086 0.359 0.359
Sm1 0.901 0.347 0.901
Sm2 0.901 0.901 0.347
Sm3 0.347 0.901 0.901
Sm4 0.099 0.099 0.653
Sm5 0.099 0.653 0.099
Sm6 0.653 0.099 0.099
```

Values from the calculation:
Energy relative to the elements ... 187 meV/atom
D(E_F) ... 31.90 states/eV per cell

[3]
Entry from Alexandria: a relaxed SrPrSm2 crystal (PBE).

```
data_SrPrSm2
_chemical_formula_sum 'Sr1 Pr1 Sm2'
_space_group_name_H-M_alt 'P 1'
_space_group_IT_number 1
_cell_length_a 5.986
_cell_length_b 5.986
_cell_length_c 5.986
_cell_angle_alpha 60.00
_cell_angle_beta 60.00
_cell_angle_gamma 60.00
loop_
_space_group_symop_operation_xyz
'x,y,z'
loop_
_atom_site_label
_atom_site_fract_x
_atom_site_fract_y
_atom_site_fract_z
Pr1 0.000 0.000 0.000
Sr1 0.500 0.500 0.500
Sm1 0.250 0.250 0.250
Sm2 0.750 0.750 0.750
```

Values from the calculation:
Energy relative to the elements ... 224 meV/atom
E above lowest polymorph ... 0.126 eV/atom
D(E_F) ... 7.74 states/eV per cell

[4]
Entry from Alexandria: a relaxed SrPr6Sm8 crystal (PBE).

```
data_SrPr6Sm8
_chemical_formula_sum 'Sr1 Pr6 Sm8'
_space_group_name_H-M_alt 'P 1'
_space_group_IT_number 1
_cell_length_a 8.465
_cell_length_b 8.465
_cell_length_c 8.465
_cell_angle_alpha 72.09
_cell_angle_beta 72.09
_cell_angle_gamma 72.09
loop_
_space_group_symop_operation_xyz
'x,y,z'
loop_
_atom_site_label
_atom_site_fract_x
_atom_site_fract_y
_atom_site_fract_z
Sr1 0.000 0.000 0.000
Pr1 0.170 0.429 0.619
Pr2 0.381 0.830 0.571
Pr3 0.571 0.381 0.830
Pr4 0.429 0.619 0.170
Pr5 0.619 0.170 0.429
Pr6 0.830 0.571 0.381
Sm1 0.140 0.614 0.945
Sm2 0.055 0.860 0.386
Sm3 0.386 0.055 0.860
Sm4 0.769 0.769 0.769
Sm5 0.231 0.231 0.231
Sm6 0.614 0.945 0.140
Sm7 0.945 0.140 0.614
Sm8 0.860 0.386 0.055
```

Values from the calculation:
Energy relative to the elements ... 180 meV/atom
D(E_F) ... 20.24 states/eV per cell

[5]
Entry from Alexandria: a relaxed SrPrSm4 crystal (PBE).

```
data_SrPrSm4
_chemical_formula_sum 'Sr1 Pr1 Sm4'
_space_group_name_H-M_alt 'P 1'
_space_group_IT_number 1
_cell_length_a 6.881
_cell_length_b 6.881
_cell_length_c 6.881
_cell_angle_alpha 60.00
_cell_angle_beta 60.00
_cell_angle_gamma 60.00
loop_
_space_group_symop_operation_xyz
'x,y,z'
loop_
_atom_site_label
_atom_site_fract_x
_atom_site_fract_y
_atom_site_fract_z
Pr1 0.000 0.000 0.000
Sr1 0.250 0.250 0.250
Sm1 0.628 0.628 0.117
Sm2 0.628 0.117 0.628
Sm3 0.628 0.628 0.628
Sm4 0.117 0.628 0.628
```

Values from the calculation:
Energy relative to the elements ... 229 meV/atom
D(E_F) ... 7.62 states/eV per cell

[6]
Entry from Alexandria: a relaxed SrPr5Sm6 crystal (PBE).

```
data_SrPr5Sm6
_chemical_formula_sum 'Sr1 Pr5 Sm6'
_space_group_name_H-M_alt 'P 1'
_space_group_IT_number 1
_cell_length_a 6.420
_cell_length_b 8.286
_cell_length_c 8.286
_cell_angle_alpha 84.46
_cell_angle_beta 97.46
_cell_angle_gamma 97.46
loop_
_space_group_symop_operation_xyz
'x,y,z'
loop_
_atom_site_label
_atom_site_fract_x
_atom_site_fract_y
_atom_site_fract_z
Pr1 0.500 0.827 0.173
Pr2 0.000 0.661 0.339
Pr3 0.500 0.500 0.500
Pr4 0.000 0.339 0.661
Pr5 0.500 0.173 0.827
Sr1 0.000 0.000 0.000
Sm1 0.746 0.915 0.574
Sm2 0.254 0.426 0.085
Sm3 0.259 0.747 0.747
Sm4 0.741 0.253 0.253
Sm5 0.746 0.574 0.915
Sm6 0.254 0.085 0.426
```

Values from the calculation:
Energy relative to the elements ... 56 meV/atom
D(E_F) ... 19.05 states/eV per cell

[7]
Entry from Alexandria: a relaxed SrPrSm2 crystal (PBE).

```
data_SrPrSm2
_chemical_formula_sum 'Sr1 Pr1 Sm2'
_space_group_name_H-M_alt 'P 1'
_space_group_IT_number 1
_cell_length_a 3.689
_cell_length_b 3.689
_cell_length_c 13.250
_cell_angle_alpha 82.00
_cell_angle_beta 82.00
_cell_angle_gamma 60.00
loop_
_space_group_symop_operation_xyz
'x,y,z'
loop_
_atom_site_label
_atom_site_fract_x
_atom_site_fract_y
_atom_site_fract_z
Pr1 0.500 0.500 0.500
Sr1 0.000 0.000 0.000
Sm1 0.092 0.092 0.725
Sm2 0.908 0.908 0.275
```

Values from the calculation:
Energy relative to the elements ... 193 meV/atom
E above lowest polymorph ... 0.095 eV/atom
D(E_F) ... 6.65 states/eV per cell

[8]
Entry from Alexandria: a relaxed SrPrSm14 crystal (PBE).

```
data_SrPrSm14
_chemical_formula_sum 'Sr1 Pr1 Sm14'
_space_group_name_H-M_alt 'P 1'
_space_group_IT_number 1
_cell_length_a 7.346
_cell_length_b 7.346
_cell_length_c 10.306
_cell_angle_alpha 90.00
_cell_angle_beta 90.00
_cell_angle_gamma 90.00
loop_
_space_group_symop_operation_xyz
'x,y,z'
loop_
_atom_site_label
_atom_site_fract_x
_atom_site_fract_y
_atom_site_fract_z
Sr1 0.875 0.875 0.500
Pr1 0.375 0.375 0.500
Sm1 0.875 0.875 0.000
Sm2 0.375 0.375 0.000
Sm3 0.875 0.375 0.500
Sm4 0.875 0.375 0.000
Sm5 0.375 0.875 0.500
Sm6 0.375 0.875 0.000
Sm7 0.620 0.130 0.244
Sm8 0.620 0.130 0.756
Sm9 0.130 0.620 0.244
Sm10 0.130 0.620 0.756
Sm11 0.620 0.620 0.244
Sm12 0.620 0.620 0.756
Sm13 0.130 0.130 0.244
Sm14 0.130 0.130 0.756
```

Values from the calculation:
Energy relative to the elements ... 49 meV/atom
D(E_F) ... 22.37 states/eV per cell

[9]
Entry from Alexandria: a relaxed SrPr2Sm crystal (PBE).

```
data_SrPr2Sm
_chemical_formula_sum 'Sr1 Pr2 Sm1'
_space_group_name_H-M_alt 'P 1'
_space_group_IT_number 1
_cell_length_a 3.772
_cell_length_b 3.772
_cell_length_c 10.918
_cell_angle_alpha 90.00
_cell_angle_beta 90.00
_cell_angle_gamma 90.00
loop_
_space_group_symop_operation_xyz
'x,y,z'
loop_
_atom_site_label
_atom_site_fract_x
_atom_site_fract_y
_atom_site_fract_z
Pr1 0.000 0.000 0.775
Pr2 0.000 0.000 0.225
Sr1 0.500 0.500 0.500
Sm1 0.500 0.500 0.000
```

Values from the calculation:
Energy relative to the elements ... 75 meV/atom
E above lowest polymorph ... 0.000 eV/atom
D(E_F) ... 5.76 states/eV per cell

[10]
Entry from Alexandria: a relaxed SrPr2Sm crystal (PBE).

```
data_SrPr2Sm
_chemical_formula_sum 'Sr1 Pr2 Sm1'
_space_group_name_H-M_alt 'P 1'
_space_group_IT_number 1
_cell_length_a 5.326
_cell_length_b 5.362
_cell_length_c 5.362
_cell_angle_alpha 90.00
_cell_angle_beta 90.00
_cell_angle_gamma 90.00
loop_
_space_group_symop_operation_xyz
'x,y,z'
loop_
_atom_site_label
_atom_site_fract_x
_atom_site_fract_y
_atom_site_fract_z
Pr1 0.000 0.000 0.500
Pr2 0.000 0.500 0.000
Sr1 0.500 0.000 0.000
Sm1 0.500 0.500 0.500
```

Values from the calculation:
Energy relative to the elements ... 144 meV/atom
E above lowest polymorph ... 0.069 eV/atom
D(E_F) ... 7.05 states/eV per cell

[11]
Entry from Alexandria: a relaxed SrPr8Sm6 crystal (PBE).

```
data_SrPr8Sm6
_chemical_formula_sum 'Sr1 Pr8 Sm6'
_space_group_name_H-M_alt 'P 1'
_space_group_IT_number 1
_cell_length_a 8.473
_cell_length_b 8.473
_cell_length_c 8.473
_cell_angle_alpha 72.37
_cell_angle_beta 72.37
_cell_angle_gamma 72.37
loop_
_space_group_symop_operation_xyz
'x,y,z'
loop_
_atom_site_label
_atom_site_fract_x
_atom_site_fract_y
_atom_site_fract_z
Sr1 0.000 0.000 0.000
Pr1 0.143 0.613 0.945
Pr2 0.055 0.857 0.387
Pr3 0.387 0.055 0.857
Pr4 0.765 0.765 0.765
Pr5 0.235 0.235 0.235
Pr6 0.613 0.945 0.143
Pr7 0.945 0.143 0.613
Pr8 0.857 0.387 0.055
Sm1 0.172 0.431 0.619
Sm2 0.381 0.828 0.569
Sm3 0.569 0.381 0.828
Sm4 0.431 0.619 0.172
Sm5 0.619 0.172 0.431
Sm6 0.828 0.569 0.381
```

Values from the calculation:
Energy relative to the elements ... 180 meV/atom
D(E_F) ... 20.77 states/eV per cell

[12]
Entry from Alexandria: a relaxed SrPr2Sm crystal (PBE).

```
data_SrPr2Sm
_chemical_formula_sum 'Sr1 Pr2 Sm1'
_space_group_name_H-M_alt 'P 1'
_space_group_IT_number 1
_cell_length_a 6.026
_cell_length_b 6.026
_cell_length_c 6.026
_cell_angle_alpha 60.00
_cell_angle_beta 60.00
_cell_angle_gamma 60.00
loop_
_space_group_symop_operation_xyz
'x,y,z'
loop_
_atom_site_label
_atom_site_fract_x
_atom_site_fract_y
_atom_site_fract_z
Pr1 0.250 0.250 0.250
Pr2 0.750 0.750 0.750
Sr1 0.500 0.500 0.500
Sm1 0.000 0.000 0.000
```

Values from the calculation:
Energy relative to the elements ... 205 meV/atom
E above lowest polymorph ... 0.130 eV/atom
D(E_F) ... 8.92 states/eV per cell

Record order is preserved below.
Magnetic moment: 0.00 0.00 1.40 0.00 0.00 0.00 0.00 0.00 0.00 0.00 0.00 0.00 μB/f.u.